Below is a relaxed structure of Rb2MnBeCl6, with properties calculated at the PBE level.

The structure belongs to space group I4/mmm (No. 139); the cell edges are 6.8627, 6.8627 and 10.5570 Å and the angles 90.00°, 90.00° and 90.00°. The distinct sites, in fractional coordinates, are Rb at (0.0000, 0.5000, 0.2500), Mn at (0.0000, 0.0000, 0.0000), Be at (0.0000, 0.0000, 0.5000), Cl at (0.0000, 0.0000, 0.2260) and Cl at (0.2256, 0.2256, 0.5000).

=====

Below is a relaxed structure of RbMnBe2Cl8, with properties calculated at the PBE level.

The structure belongs to space group R-3 (No. 148, hexagonal axes); the cell edges are 5.9735, 5.9735 and 29.6257 Å and the angles 90.00°, 90.00° and 120.00°. The distinct sites, in fractional coordinates, are Rb at (0.0000, 0.0000, 0.0000), Mn at (0.0000, 0.0000, 0.5000), Be at (0.0000, 0.0000, 0.2367), Cl at (0.0000, 0.0000, 0.3032) and Cl at (0.0015, 0.6534, 0.1185).

=====

Number 1: calculated total energy -80.168 eV per cell, raw formation energy -1.42 eV/atom. Number 2: calculated total energy -144.455 eV per cell, raw formation energy -1.32 eV/atom.